<1>
Entry from Alexandria: a relaxed structure of CeY2Sb (PBE).

Unit cell a=3.935 b=3.935 c=7.324 alpha=90.00 beta=90.00 gamma=90.00
Last column: magnetic moment on the atom in μB.
Sites, in units of the cell vectors:
Y: 0.000 0.000 0.777  -0.01
Y: 0.000 0.000 0.223  -0.01
Ce: 0.500 0.500 0.500  0.34
Sb: 0.500 0.500 0.000  0.00

<2>
Entry from Alexandria: a relaxed structure of CeY2Sb (PBE).

Unit cell a=4.002 b=4.002 c=9.941 alpha=78.39 beta=78.39 gamma=60.00
Last column: magnetic moment on the atom in μB.
Sites, in units of the cell vectors:
Sb: 0.666 0.666 0.001  0.00
Y: 0.066 0.066 0.801  0.16
Y: 0.267 0.267 0.200  0.05
Ce: 0.501 0.501 0.498  1.21

<3>
Entry from Alexandria: a relaxed structure of CeY2Sb (PBE).

Unit cell a=4.620 b=4.877 c=4.877 alpha=90.00 beta=90.00 gamma=90.00
Last column: magnetic moment on the atom in μB.
Sites, in units of the cell vectors:
Sb: 0.500 0.000 0.000  -0.01
Y: 0.000 0.500 0.000  0.01
Y: 0.000 0.000 0.500  0.01
Ce: 0.500 0.500 0.500  0.34

<4>
Entry from Alexandria: a relaxed structure of CeY2Sb (PBE).

Unit cell a=3.963 b=3.963 c=10.043 alpha=78.62 beta=78.62 gamma=60.00
Last column: magnetic moment on the atom in μB.
Sites, in units of the cell vectors:
Ce: 0.500 0.500 0.500  1.11
Y: 0.267 0.267 0.200  0.07
Y: 0.733 0.733 0.800  0.07
Sb: 0.000 0.000 0.000  0.00

According to the calculations, the structures order from most to least stable as <3>, <1>, <2>, <4>.

<1>
Entry from Alexandria: a relaxed structure of CeY3Sb3 (PBE).

Unit cell a=9.286 b=9.286 c=9.286 alpha=90.00 beta=90.00 gamma=90.00
Last column: magnetic moment on the atom in μB.
Sites, in units of the cell vectors:
Y: 0.576 0.076 0.424  0.17
Y: 0.924 0.924 0.924  0.17
Y: 0.680 0.320 0.820  0.06
Y: 0.320 0.820 0.680  0.06
Y: 0.424 0.576 0.076  0.17
Y: 0.821 0.321 0.179  0.04
Y: 0.179 0.821 0.321  0.04
Y: 0.820 0.680 0.320  0.06
Y: 0.321 0.179 0.821  0.04
Y: 0.180 0.180 0.180  0.06
Y: 0.076 0.424 0.576  0.17
Y: 0.679 0.679 0.679  0.04
Sb: 0.621 0.000 0.745  -0.01
Sb: 0.755 0.379 0.500  -0.01
Sb: 0.000 0.245 0.879  -0.01
Sb: 0.245 0.879 0.000  -0.01
Sb: 0.000 0.745 0.621  -0.01
Sb: 0.500 0.755 0.379  -0.01
Sb: 0.745 0.621 0.000  -0.01
Sb: 0.121 0.500 0.255  -0.01
Sb: 0.500 0.255 0.121  -0.01
Sb: 0.379 0.500 0.755  -0.01
Sb: 0.255 0.121 0.500  -0.01
Sb: 0.879 0.000 0.245  -0.01
Ce: 0.929 0.071 0.571  0.91
Ce: 0.571 0.929 0.071  0.91
Ce: 0.429 0.429 0.429  0.91
Ce: 0.071 0.571 0.929  0.91

<2>
Entry from Alexandria: a relaxed structure of CeY3Sb3 (PBE).

Unit cell a=5.741 b=9.100 c=9.100 alpha=120.00 beta=90.00 gamma=90.00
Last column: magnetic moment on the atom in μB.
Sites, in units of the cell vectors:
Ce: 0.750 0.333 0.667  1.11
Ce: 0.250 0.667 0.333  1.11
Sb: 0.250 0.577 0.942  -0.02
Sb: 0.250 0.365 0.423  -0.02
Sb: 0.750 0.635 0.577  -0.02
Sb: 0.750 0.942 0.365  -0.02
Sb: 0.750 0.423 0.058  -0.02
Sb: 0.250 0.058 0.635  -0.02
Y: 0.250 0.985 0.237  0.10
Y: 0.250 0.763 0.748  0.10
Y: 0.250 0.252 0.015  0.10
Y: 0.750 0.748 0.985  0.10
Y: 0.750 0.015 0.763  0.10
Y: 0.750 0.237 0.252  0.10

According to the calculations, the structures order from most to least stable as <1>, <2>.

<1>
Entry from Alexandria: a relaxed structure of CeZrSb2 (PBE).

Unit cell a=4.542 b=6.058 c=18.093 alpha=90.00 beta=90.00 gamma=90.00
Last column: magnetic moment on the atom in μB.
Sites, in units of the cell vectors:
Ce: 0.250 0.750 0.442  0.68
Ce: 0.250 0.250 0.058  0.68
Ce: 0.750 0.750 0.942  0.68
Ce: 0.750 0.250 0.558  0.68
Sb: 0.250 0.750 0.823  -0.01
Sb: 0.750 0.750 0.323  -0.01
Sb: 0.750 0.250 0.177  -0.01
Sb: 0.250 0.750 0.067  -0.01
Sb: 0.250 0.250 0.677  -0.01
Sb: 0.750 0.750 0.567  -0.01
Sb: 0.250 0.250 0.433  -0.01
Sb: 0.750 0.250 0.933  -0.01
Zr: 0.250 0.250 0.834  0.07
Zr: 0.750 0.750 0.166  0.07
Zr: 0.750 0.250 0.334  0.07
Zr: 0.250 0.750 0.666  0.07

<2>
Entry from Alexandria: a relaxed structure of CeZrSb2 (PBE).

Unit cell a=4.222 b=4.222 c=7.787 alpha=74.27 beta=74.27 gamma=60.00
Last column: magnetic moment on the atom in μB.
Sites, in units of the cell vectors:
Sb: 0.089 0.089 0.733  -0.01
Sb: 0.244 0.244 0.268  -0.01
Zr: 0.497 0.497 0.509  -0.08
Ce: 0.670 0.670 0.989  0.56

<3>
Entry from Alexandria: a relaxed structure of CeZrSb2 (PBE).

Unit cell a=3.666 b=3.666 c=7.590 alpha=90.00 beta=90.00 gamma=90.00
Last column: magnetic moment on the atom in μB.
Sites, in units of the cell vectors:
Zr: 0.500 0.500 0.000  0.17
Sb: 0.000 0.000 0.225  -0.02
Sb: 0.000 0.000 0.775  -0.02
Ce: 0.500 0.500 0.500  0.95

According to the calculations, the structures order from most to least stable as <2>, <3>, <1>.

<1>
Entry from Alexandria: a relaxed structure of Ce3Sc2 (PBE).

Unit cell a=3.327 b=3.327 c=13.613 alpha=82.98 beta=82.98 gamma=60.00
Sites, in units of the cell vectors:
Ce: 0.900 0.900 0.299
Ce: 0.100 0.100 0.701
Ce: 0.500 0.500 0.500
Sc: 0.699 0.699 0.902
Sc: 0.301 0.301 0.098

<2>
Entry from Alexandria: a relaxed structure of Ce3Sc2 (PBE).

Unit cell a=6.217 b=6.217 c=9.182 alpha=70.21 beta=70.21 gamma=60.00
Last column: magnetic moment on the atom in μB.
Sites, in units of the cell vectors:
Ce: 0.721 0.250 0.250  0.57
Ce: 0.279 0.750 0.750  0.57
Ce: 0.250 0.779 0.250  0.57
Ce: 0.221 0.279 0.750  0.57
Ce: 0.750 0.221 0.750  0.57
Ce: 0.779 0.721 0.250  0.57
Sc: 0.810 0.810 0.570  0.03
Sc: 0.690 0.690 0.930  0.03
Sc: 0.310 0.310 0.070  0.03
Sc: 0.190 0.190 0.430  0.03

According to the calculations, the structures order from most to least stable as <1>, <2>.

<1>
Entry from Alexandria: a relaxed structure of CeSc2 (PBE).

Unit cell a=3.215 b=3.215 c=17.035 alpha=90.00 beta=90.00 gamma=120.00
Sites, in units of the cell vectors:
Sc: 0.000 0.000 0.912
Sc: 0.000 0.000 0.088
Sc: 0.000 0.000 0.412
Sc: 0.000 0.000 0.588
Ce: 0.333 0.667 0.250
Ce: 0.667 0.333 0.750

<2>
Entry from Alexandria: a relaxed structure of CeSc2 (PBE).

Unit cell a=3.328 b=3.331 c=8.157 alpha=78.22 beta=89.99 gamma=60.01
Sites, in units of the cell vectors:
Sc: 0.285 0.443 0.832
Sc: 0.726 0.559 0.157
Ce: 0.505 0.001 0.494

According to the calculations, the structures order from most to least stable as <2>, <1>.

<1>
Entry from Alexandria: a relaxed structure of CeSc2 (PBE).

Unit cell a=6.269 b=6.269 c=6.269 alpha=60.00 beta=60.00 gamma=60.00
Last column: magnetic moment on the atom in μB.
Sites, in units of the cell vectors:
Sc: 0.625 0.625 0.625  0.60
Sc: 0.625 0.625 0.125  0.60
Sc: 0.125 0.625 0.625  0.60
Sc: 0.625 0.125 0.625  0.60
Ce: 0.250 0.250 0.250  1.31
Ce: 0.000 0.000 0.000  1.31

<2>
Entry from Alexandria: a relaxed structure of CeSc2 (PBE).

Unit cell a=3.255 b=3.255 c=7.627 alpha=102.32 beta=102.32 gamma=90.00
Last column: magnetic moment on the atom in μB.
Sites, in units of the cell vectors:
Ce: 0.000 0.000 0.000  0.27
Sc: 0.668 0.668 0.337  -0.01
Sc: 0.332 0.332 0.663  -0.01

According to the calculations, the structures order from most to least stable as <2>, <1>.

<1>
Entry from Alexandria: a relaxed structure of CeScSe2 (PBE).

Unit cell a=3.994 b=3.994 c=7.121 alpha=73.71 beta=73.71 gamma=60.00
Last column: magnetic moment on the atom in μB.
Sites, in units of the cell vectors:
Se: 0.259 0.259 0.223  -0.01
Se: 0.741 0.741 0.777  -0.01
Ce: 0.500 0.500 0.500  0.86
Sc: 0.000 0.000 0.000  -0.02

<2>
Entry from Alexandria: a relaxed structure of CeScSe2 (PBE).

Unit cell a=3.890 b=3.890 c=7.224 alpha=89.98 beta=90.00 gamma=120.00
Last column: magnetic moment on the atom in μB.
Sites, in units of the cell vectors:
Ce: 0.000 0.500 0.500  0.99
Se: 0.333 0.167 0.221  -0.01
Se: 0.667 0.833 0.779  -0.01
Sc: 0.000 0.500 0.000  0.06

According to the calculations, the structures order from most to least stable as <1>, <2>.

<1>
Entry from Alexandria: a relaxed structure of Ce2ScSe3 (PBE).

Unit cell a=3.999 b=3.999 c=21.115 alpha=90.00 beta=90.00 gamma=120.00
Last column: magnetic moment on the atom in μB.
Sites, in units of the cell vectors:
Sc: 0.000 0.000 0.250  -0.04
Sc: 0.000 0.000 0.750  -0.04
Ce: 0.667 0.333 0.085  0.75
Ce: 0.667 0.333 0.415  0.75
Ce: 0.333 0.667 0.585  0.75
Ce: 0.333 0.667 0.915  0.75
Se: 0.000 0.000 0.000  -0.02
Se: 0.333 0.667 0.174  -0.01
Se: 0.000 0.000 0.500  -0.02
Se: 0.333 0.667 0.326  -0.01
Se: 0.667 0.333 0.826  -0.01
Se: 0.667 0.333 0.674  -0.01

<2>
Entry from Alexandria: a relaxed structure of Ce2ScSe3 (PBE).

Unit cell a=6.871 b=7.071 c=7.071 alpha=66.86 beta=82.31 gamma=82.31
Last column: magnetic moment on the atom in μB.
Sites, in units of the cell vectors:
Se: 0.250 0.402 0.598  -0.01
Se: 0.008 0.876 0.784  -0.02
Se: 0.492 0.216 0.124  -0.02
Se: 0.750 0.598 0.402  -0.01
Se: 0.992 0.124 0.216  -0.02
Se: 0.508 0.784 0.876  -0.02
Ce: 0.332 0.832 0.485  1.11
Ce: 0.168 0.515 0.168  1.11
Ce: 0.832 0.485 0.832  1.11
Ce: 0.668 0.168 0.515  1.11
Sc: 0.250 0.071 0.929  0.16
Sc: 0.750 0.929 0.071  0.16

According to the calculations, the structures order from most to least stable as <1>, <2>.